Record 1
The following is a DFT calculation (PBE) of a relaxed structure of RhPbI2N.

Lattice parameters (Å, degrees): 5.8223 5.8223 3.7577 90.00 90.00 90.00
Sites, in units of the cell vectors:
Pb: 0.5000 0.5000 0.5000
I: 0.5000 0.0000 0.0000
I: 0.0000 0.5000 0.0000
Rh: 0.0000 0.0000 0.0000
N: 0.0000 0.0000 0.5000

Calculated values
Energy relative to the elements, uncorrected: 23 kJ per mole of atoms
E_tot: -4.2541 eV per atom
Excess energy over the best structure of this formula in the dataset: 0.00 eV per formula unit
Volume: 25.48 Å³/atom
Magnetic moment: 0.00 μB per cell

---

Record 2
The following is a DFT calculation (PBE) of a relaxed structure of RbSrAuS2.

Lattice parameters (Å, degrees): 5.4316 7.6668 8.2562 102.39 90.00 90.00
Sites, in units of the cell vectors:
Au: 0.0000 0.0000 0.0000
S: 0.7171 0.2356 0.5372
S: 0.7171 0.7644 0.9628
S: 0.2829 0.2356 0.0372
Rb: 0.8241 0.5000 0.2500
Rb: 0.1759 0.5000 0.7500
Sr: 0.5190 0.0000 0.7500
Au: 0.0000 0.0000 0.5000
Sr: 0.4810 0.0000 0.2500
S: 0.2829 0.7644 0.4628

Calculated values
Energy relative to the elements, uncorrected: -120 kJ per mole of atoms
E_tot: -4.0771 eV per atom
Volume: 33.58 Å³/atom
Magnetic moment: 0.00 μB per cell

---

Record 3
The following is a DFT calculation (PBE) of a relaxed structure of Li3PPd6.

Lattice parameters (Å, degrees): 6.8321 6.8321 6.8321 86.36 86.36 86.36
Sites, in units of the cell vectors:
Pd: 0.6410 0.1559 0.5512
Pd: 0.1559 0.5512 0.6410
Li: 0.8060 0.4251 0.7528
Li: 0.7528 0.8060 0.4251
Pd: 0.0126 0.9247 0.6803
Li: 0.2472 0.1940 0.5749
Pd: 0.9247 0.6803 0.0126
Li: 0.1940 0.5749 0.2472
Li: 0.4251 0.7528 0.8060
Pd: 0.4488 0.3590 0.8441
Pd: 0.8441 0.4488 0.3590
Pd: 0.9874 0.0753 0.3197
Pd: 0.5512 0.6410 0.1559
Pd: 0.0753 0.3197 0.9874
Li: 0.5749 0.2472 0.1940
Pd: 0.3197 0.9874 0.0753
Pd: 0.3590 0.8441 0.4488
P: 0.0000 0.0000 0.0000
P: 0.5000 0.5000 0.5000
Pd: 0.6803 0.0126 0.9247

Calculated values
E_tot: -4.5525 eV per atom
Excess energy over the best structure of this formula in the dataset: 0.41 eV per formula unit
Volume: 15.85 Å³/atom
DFT formation energy: -0.3217 eV per atom
Magnetic moment: 0.00 μB per cell

---

Record 4
The following is a DFT calculation (PBE) of a relaxed structure of Ac3TcO6.

Lattice parameters (Å, degrees): 6.0543 7.8879 7.8879 105.37 90.00 90.00
Sites, in units of the cell vectors:
O: 0.2644 0.6610 0.6516
Tc: 0.5036 0.8223 0.1777
O: 0.4730 0.0047 0.3972
O: 0.2606 0.0897 0.9103
O: 0.4730 0.6028 0.9953
O: 0.9730 0.3972 0.0047
O: 0.7644 0.3390 0.3484
Ac: 0.5144 0.3998 0.6002
Ac: 0.0144 0.6002 0.3998
Ac: 0.5293 0.9104 0.6721
O: 0.6734 0.2180 0.7820
Ac: 0.5293 0.3279 0.0896
O: 0.1734 0.7820 0.2180
O: 0.9730 0.9953 0.6028
O: 0.7644 0.6516 0.6610
Ac: 0.0293 0.0896 0.3279
Tc: 0.0036 0.1777 0.8223
O: 0.2644 0.3484 0.3390
O: 0.7606 0.9103 0.0897
Ac: 0.0293 0.6721 0.9104

Calculated values
Energy relative to the elements, uncorrected: -260 kJ per mole of atoms
E_tot: -7.9377 eV per atom
Volume: 18.16 Å³/atom
Magnetic moment: 4.00 μB per cell

---

Record 5
The following is a DFT calculation (PBE) of a relaxed structure of MgAsP2N6.

Lattice parameters (Å, degrees): 5.3844 6.9457 6.9457 86.76 71.08 71.08
Sites, in units of the cell vectors:
P: 0.8609 0.6212 0.7758
Mg: 0.7500 0.1146 0.8854
N: 0.1785 0.6242 0.6821
N: 0.6785 0.6821 0.6242
As: 0.7500 0.7854 0.2146
N: 0.3215 0.3179 0.3758
N: 0.8189 0.0273 0.2135
N: 0.8985 0.3805 0.8291
N: 0.8215 0.3758 0.3179
N: 0.1015 0.6195 0.1709
N: 0.3985 0.8291 0.3805
P: 0.6391 0.2242 0.3788
N: 0.6811 0.7865 0.9727
N: 0.6015 0.1709 0.6195
Mg: 0.2500 0.8854 0.1146
N: 0.1811 0.9727 0.7865
As: 0.2500 0.2146 0.7854
P: 0.1391 0.3788 0.2242
N: 0.3189 0.2135 0.0273
P: 0.3609 0.7758 0.6212

Calculated values
Energy relative to the elements, uncorrected: -11 kJ per mole of atoms
E_tot: -6.8105 eV per atom
Volume: 11.61 Å³/atom
Magnetic moment: 0.74 μB per cell

---

Record 6
The following is a DFT calculation (PBE) of a relaxed structure of Li2SiAgB.

Lattice parameters (Å, degrees): 4.7435 4.5876 4.7435 90.00 90.00 90.00
Sites, in units of the cell vectors:
Ag: 0.0000 0.0000 0.0000
Li: 0.0000 0.0000 0.5000
Si: 0.0000 0.5000 0.0000
Li: 0.5000 0.0000 0.0000
B: 0.5000 0.5000 0.5000

Calculated values
Energy relative to the elements, uncorrected: 102 kJ per mole of atoms
E_tot: -2.6977 eV per atom
Volume: 20.65 Å³/atom
Magnetic moment: 0.00 μB per cell

---

Record 7
The following is a DFT calculation (PBE) of a relaxed structure of Ti4Mn.

Lattice parameters (Å, degrees): 4.4808 4.4808 4.4808 90.00 90.00 90.00
Sites, in units of the cell vectors:
Ti: 0.0000 0.5000 0.5000
Ti: 0.0000 0.0000 0.0000
Mn: 0.5000 0.5000 0.5000
Ti: 0.5000 0.5000 0.0000
Ti: 0.5000 0.0000 0.5000

Calculated values
E_tot: -7.7617 eV per atom
Excess energy over the best structure of this formula in the dataset: 1.83 eV per formula unit
Volume: 17.99 Å³/atom
DFT formation energy: 0.3881 eV per atom
Magnetic moment: 0.00 μB per cell

---

Record 8
The following is a DFT calculation (PBE) of a relaxed structure of InBiSe2.

Lattice parameters (Å, degrees): 4.2285 4.2285 8.2098 75.08 75.08 60.00
Sites, in units of the cell vectors:
In: 0.4919 0.4919 0.5243
Se: 0.0773 0.0773 0.7680
Se: 0.2640 0.2640 0.2079
Bi: 0.6667 0.6667 0.9999

Calculated values
Energy relative to the elements, uncorrected: -36 kJ per mole of atoms
E_tot: -3.7683 eV per atom
Volume: 30.34 Å³/atom
Magnetic moment: 0.00 μB per cell

---

Record 9
The following is a DFT calculation (PBE) of a relaxed structure of Hf8Te2N.

Lattice parameters (Å, degrees): 7.4102 6.4948 6.4948 58.33 105.74 105.74
Sites, in units of the cell vectors:
N: 0.0000 0.0000 0.0000
Hf: 0.8786 0.1505 0.1505
Te: 0.4780 0.8116 0.8116
Hf: 0.2132 0.3763 0.3763
Hf: 0.8174 0.6340 0.1598
Hf: 0.1214 0.8495 0.8495
Hf: 0.8174 0.1598 0.6340
Hf: 0.1826 0.8402 0.3660
Hf: 0.7868 0.6237 0.6237
Te: 0.5220 0.1884 0.1884
Hf: 0.1826 0.3660 0.8402

Calculated values
Energy relative to the elements, uncorrected: -28 kJ per mole of atoms
E_tot: -8.8567 eV per atom
Volume: 22.99 Å³/atom
Magnetic moment: 0.00 μB per cell

---

Record 10
The following is a DFT calculation (PBE) of a relaxed structure of Nd2ErAg.

Lattice parameters (Å, degrees): 3.7514 6.5084 10.1721 90.00 90.00 106.72
Sites, in units of the cell vectors:
Ag: 0.2470 0.4929 0.2500
Nd: 0.3692 0.7383 0.9520
Nd: 0.3692 0.7383 0.5480
Ag: 0.7530 0.5071 0.7500
Nd: 0.6308 0.2617 0.4520
Er: 0.0577 0.1155 0.7500
Nd: 0.6308 0.2617 0.0480
Er: 0.9423 0.8845 0.2500

Calculated values
E_tot: -4.3490 eV per atom
Excess energy over the best structure of this formula in the dataset: 0.00 eV per formula unit
Volume: 29.73 Å³/atom
DFT formation energy: -0.1116 eV per atom
Magnetic moment: 0.00 μB per cell

---

Record 11
The following is a DFT calculation (PBE) of a relaxed structure of PrCoGe2.

Lattice parameters (Å, degrees): 4.0697 4.0697 5.7943 69.44 69.44 60.00
Sites, in units of the cell vectors:
Ge: 0.7876 0.7876 0.6373
Pr: 0.0000 0.0000 0.0000
Co: 0.5000 0.5000 0.5000
Ge: 0.2124 0.2124 0.3627

Calculated values
E_tot: -5.8662 eV per atom
Volume: 18.99 Å³/atom
DFT formation energy: -0.5862 eV per atom
Magnetic moment: 0.00 μB per cell

---

Record 12
The following is a DFT calculation (PBE) of a relaxed structure of Sc2Pa2Se7.

Lattice parameters (Å, degrees): 4.7491 4.7491 13.2242 90.00 90.00 90.00
Sites, in units of the cell vectors:
Sc: 0.5000 0.0000 0.8671
Sc: 0.0000 0.5000 0.1329
Se: 0.5000 0.5000 0.0000
Se: 0.5000 0.5000 0.2477
Pa: 0.5000 0.0000 0.3686
Se: 0.0000 0.0000 0.2217
Se: 0.5000 0.5000 0.5000
Se: 0.5000 0.5000 0.7523
Se: 0.0000 0.0000 0.7783
Se: 0.0000 0.0000 0.5000
Pa: 0.0000 0.5000 0.6314

Calculated values
Energy relative to the elements, uncorrected: -128 kJ per mole of atoms
E_tot: -6.4173 eV per atom
Excess energy over the best structure of this formula in the dataset: 0.39 eV per formula unit
Volume: 27.11 Å³/atom
Magnetic moment: 1.97 μB per cell

---

Record 13
The following is a DFT calculation (PBE) of a relaxed structure of Ac5RuPb3.

Lattice parameters (Å, degrees): 7.4329 10.0851 10.0851 120.00 90.00 90.00
Sites, in units of the cell vectors:
Pb: 0.7500 0.5903 0.5903
Pb: 0.2500 0.5903 0.0000
Ac: 0.7500 0.2308 0.2308
Ac: 0.0000 0.6667 0.3333
Pb: 0.7500 0.0000 0.4097
Ac: 0.2500 0.0000 0.2308
Ru: 0.0000 0.0000 0.0000
Ac: 0.2500 0.7692 0.7692
Ac: 0.2500 0.2308 0.0000
Ac: 0.7500 0.0000 0.7692
Ru: 0.5000 0.0000 0.0000
Ac: 0.0000 0.3333 0.6667
Ac: 0.5000 0.3333 0.6667
Ac: 0.7500 0.7692 0.0000
Pb: 0.2500 0.4097 0.4097
Ac: 0.5000 0.6667 0.3333
Pb: 0.7500 0.4097 0.0000
Pb: 0.2500 0.0000 0.5903

Calculated values
E_tot: -4.9816 eV per atom
Volume: 36.37 Å³/atom
DFT formation energy: -0.4323 eV per atom
Magnetic moment: 0.00 μB per cell

---

Record 14
The following is a DFT calculation (PBE) of a relaxed structure of Ti2CoS2.

Lattice parameters (Å, degrees): 6.4890 6.4890 3.2013 90.00 90.00 90.00
Sites, in units of the cell vectors:
Co: 0.5000 0.5000 0.0000
Ti: 0.3493 0.1507 0.5000
Ti: 0.1507 0.6507 0.5000
S: 0.3451 0.8451 0.0000
Ti: 0.8493 0.3493 0.5000
Ti: 0.6507 0.8493 0.5000
Co: 0.0000 0.0000 0.0000
S: 0.1549 0.3451 0.0000
S: 0.6549 0.1549 0.0000
S: 0.8451 0.6549 0.0000

Calculated values
Energy relative to the elements, uncorrected: -79 kJ per mole of atoms
E_tot: -7.0527 eV per atom
Volume: 13.48 Å³/atom
Magnetic moment: 1.56 μB per cell

---

Record 15
The following is a DFT calculation (PBE) of a relaxed structure of Sc2Hg2Se.

Lattice parameters (Å, degrees): 7.7919 7.7919 3.7721 90.00 90.00 90.00
Sites, in units of the cell vectors:
Hg: 0.8668 0.6332 0.0000
Sc: 0.6670 0.8330 0.5000
Sc: 0.1670 0.6670 0.5000
Sc: 0.8330 0.3330 0.5000
Sc: 0.3330 0.1670 0.5000
Hg: 0.6332 0.1332 0.0000
Hg: 0.3668 0.8668 0.0000
Se: 0.5000 0.5000 0.0000
Se: 0.0000 0.0000 0.0000
Hg: 0.1332 0.3668 0.0000

Calculated values
Energy relative to the elements, uncorrected: -33 kJ per mole of atoms
E_tot: -3.6957 eV per atom
Excess energy over the best structure of this formula in the dataset: 1.66 eV per formula unit
Volume: 22.90 Å³/atom
Magnetic moment: 0.00 μB per cell

---

Record 16
The following is a DFT calculation (PBE) of a relaxed structure of Ho2PuGe4.

Lattice parameters (Å, degrees): 3.9863 4.2660 9.5991 102.84 101.98 90.00
Sites, in units of the cell vectors:
Ge: 0.9322 0.4322 0.8645
Ge: 0.0678 0.5678 0.1355
Pu: 0.5000 0.0000 0.0000
Ho: 0.1818 0.1818 0.3637
Ge: 0.6583 0.6583 0.3167
Ho: 0.8182 0.8182 0.6363
Ge: 0.3417 0.3417 0.6833

Calculated values
E_tot: -6.6175 eV per atom
Volume: 22.22 Å³/atom
DFT formation energy: -0.6236 eV per atom
Magnetic moment: 5.47 μB per cell

---

Record 17
The following is a DFT calculation (PBE) of a relaxed structure of Co2AgRh.

Lattice parameters (Å, degrees): 5.1347 5.1347 5.1347 148.20 128.87 61.48
Sites, in units of the cell vectors:
Ag: 0.7599 0.2599 0.5000
Rh: 0.4769 0.4769 0.0000
Co: 0.2360 0.7360 0.5000
Co: 0.0271 0.0271 0.0000

Calculated values
E_tot: -5.8105 eV per atom
Volume: 13.76 Å³/atom
DFT formation energy: 0.2931 eV per atom
Magnetic moment: 4.50 μB per cell

---

Record 18
The following is a DFT calculation (PBE) of a relaxed structure of MoI.

Lattice parameters (Å, degrees): 3.4758 8.2077 11.3021 90.00 90.00 90.00
Sites, in units of the cell vectors:
Mo: 0.0000 0.0398 0.6824
Mo: 0.5000 0.5421 0.5000
Mo: 0.0000 0.4579 0.0000
I: 0.5000 0.3208 0.6699
I: 0.5000 0.2019 0.0000
I: 0.0000 0.6792 0.1699
I: 0.0000 0.6792 0.8301
Mo: 0.5000 0.9602 0.1824
Mo: 0.5000 0.9602 0.8176
I: 0.0000 0.7981 0.5000
I: 0.5000 0.3208 0.3301
Mo: 0.0000 0.0398 0.3176

Calculated values
Energy relative to the elements, uncorrected: 83 kJ per mole of atoms
E_tot: -5.3293 eV per atom
Excess energy over the best structure of this formula in the dataset: 1.22 eV per formula unit
Volume: 26.87 Å³/atom
Magnetic moment: 1.76 μB per cell

---

Record 19
The following is a DFT calculation (PBE) of a relaxed structure of PuMgTeO6.

Lattice parameters (Å, degrees): 5.5810 5.5810 8.9857 90.00 90.00 120.00
Sites, in units of the cell vectors:
O: 0.6630 0.0085 0.3694
O: 0.9915 0.6545 0.3694
Mg: 0.0000 0.0000 0.5000
O: 0.0085 0.6630 0.8694
O: 0.3370 0.9915 0.6306
Mg: 0.0000 0.0000 0.0000
O: 0.9915 0.3370 0.1306
Pu: 0.3333 0.6667 0.7500
O: 0.6630 0.6545 0.1306
O: 0.6545 0.9915 0.8694
Pu: 0.6667 0.3333 0.2500
O: 0.3370 0.3455 0.8694
Te: 0.3333 0.6667 0.2500
O: 0.0085 0.3455 0.6306
Te: 0.6667 0.3333 0.7500
O: 0.3455 0.0085 0.1306
O: 0.6545 0.6630 0.6306
O: 0.3455 0.3370 0.3694

Calculated values
Energy relative to the elements, uncorrected: -184 kJ per mole of atoms
E_tot: -7.3335 eV per atom
Volume: 13.47 Å³/atom
Magnetic moment: 4.00 μB per cell

---

Record 20
The following is a DFT calculation (PBE) of a relaxed structure of RbPa2Br11.

Lattice parameters (Å, degrees): 13.3027 12.0468 12.0468 67.26 56.49 56.49
Sites, in units of the cell vectors:
Br: 0.7016 0.2908 0.7092
Br: 0.9263 0.8758 0.3799
Br: 0.7984 0.7908 0.2092
Br: 0.8822 0.4198 0.3259
Br: 0.1279 0.0802 0.1741
Pa: 0.3431 0.3476 0.6524
Rb: 0.7500 0.7500 0.7500
Br: 0.0737 0.1242 0.6201
Br: 0.6178 0.1741 0.0802
Pa: 0.1569 0.8476 0.1524
Pa: 0.8431 0.1524 0.8476
Pa: 0.6569 0.6524 0.3476
Br: 0.2016 0.2092 0.7908
Br: 0.1178 0.5802 0.6741
Br: 0.4263 0.8799 0.3758
Br: 0.8721 0.9198 0.8259
Br: 0.0000 0.0000 0.0000
Br: 0.1820 0.6201 0.1242
Rb: 0.2500 0.2500 0.2500
Br: 0.2984 0.7092 0.2908
Br: 0.3721 0.3259 0.4198
Br: 0.6820 0.6242 0.1201
Br: 0.5737 0.1201 0.6242
Br: 0.5000 0.5000 0.5000
Br: 0.6279 0.6741 0.5802
Br: 0.3822 0.8259 0.9198
Br: 0.3180 0.3758 0.8799
Br: 0.8180 0.3799 0.8758

Calculated values
Energy relative to the elements, uncorrected: -142 kJ per mole of atoms
E_tot: -4.2087 eV per atom
Volume: 47.60 Å³/atom
Magnetic moment: 0.00 μB per cell